Record 1
Material: Nd5DySc2
Method: DFT, PBE-GGA
State: optimized geometry

The structure belongs to space group Pbam (No. 55); the cell edges are 7.1008, 14.2102 and 5.0364 Å and the angles 90.00°, 90.00° and 90.00°. Symmetry generates all atoms from Nd at (0.0000, 0.0000, 0.0000), Nd at (0.0031, 0.2515, 0.0000), Nd at (0.2470, 0.6236, 0.5000), Dy at (0.0000, 0.5000, 0.0000) and Sc at (0.2491, 0.8760, 0.5000).

As for the density of states at the Fermi level: 1.3250 states/eV/atom. Its energy relative to the lowest polymorph listed for this composition is 0.000 eV/atom. The total energy comes out at -81.61 eV per cell.

---

Record 2
Material: Ac2CdO4
Method: DFT, PBE-GGA
State: optimized geometry

The structure belongs to space group Fd-3m (No. 227, origin choice 2); the cell edges are 12.1738, 12.1738 and 12.1738 Å and the angles 90.00°, 90.00° and 90.00°. Symmetry generates all atoms from Ac at (0.0159, 0.0159, 0.2341), Cd at (0.0000, 0.0000, 0.5000), O at (0.0000, 0.0000, 0.0000) and O at (0.0688, 0.3750, 0.8750).

As for the density of states at the Fermi level: 0.0000 states/eV/atom. Its energy relative to the lowest polymorph listed for this composition is 0.024 eV/atom. The calculation puts the uncorrected formation energy at -2421.9 meV/atom. The total energy comes out at -734.69 eV per cell.

---

Record 3
Material: MoOs2
Method: DFT, PBE-GGA
State: optimized geometry

The structure belongs to space group C2/m (No. 12); the cell edges are 4.8105, 2.7617 and 6.8698 Å and the angles 90.00°, 103.30° and 90.00°. Symmetry generates all atoms from Mo at (0.0000, 0.0000, 0.0000) and Os at (0.2188, 0.0000, 0.6612).

As for the density of states at the Fermi level: 0.8539 states/eV/atom. Its energy relative to the lowest polymorph listed for this composition is 0.085 eV/atom. The total energy comes out at -66.18 eV per cell.

---

Record 4
Material: Rb2YPdCl6
Method: DFT, PBE-GGA
State: optimized geometry

The structure belongs to space group Pmmn (No. 59, origin choice 2); the cell edges are 7.6447, 10.2695 and 7.6451 Å and the angles 90.00°, 90.00° and 90.00°. Symmetry generates all atoms from Rb at (0.2500, 0.0000, 0.2495), Y at (0.2500, 0.2500, 0.7494), Pd at (0.2500, 0.7500, 0.7504), Cl at (0.0062, 0.2500, 0.9929), Cl at (0.0066, 0.2500, 0.5055) and Cl at (0.2500, 0.5075, 0.7501).

As for the density of states at the Fermi level: 0.3442 states/eV/atom. The calculation puts the uncorrected formation energy at -1683.6 meV/atom. The total energy comes out at -83.02 eV per cell.

---

Record 5
Material: Sm2TaN
Method: DFT, PBE-GGA
State: optimized geometry

The structure belongs to space group R-3m (No. 166, hexagonal axes); the cell edges are 3.3225, 3.3225 and 27.2644 Å and the angles 90.00°, 90.00° and 120.00°. Symmetry generates all atoms from Sm at (0.0000, 0.0000, 0.1136), Ta at (0.0000, 0.0000, 0.0000) and N at (0.0000, 0.0000, 0.5000).

As for the density of states at the Fermi level: 1.2825 states/eV/atom. The calculation puts the uncorrected formation energy at -74.0 meV/atom. The total energy comes out at -89.74 eV per cell.

---

Record 6
Material: Ca4Se
Method: DFT, PBE-GGA
State: optimized geometry

The structure belongs to space group Im-3m (No. 229); the cell edges are 7.0758, 7.0758 and 7.0758 Å and the angles 90.00°, 90.00° and 90.00°. Symmetry generates all atoms from Ca at (0.2500, 0.2500, 0.2500) and Se at (0.0000, 0.0000, 0.0000).

As for the density of states at the Fermi level: 0.5671 states/eV/atom. Its energy relative to the lowest polymorph listed for this composition is 0.209 eV/atom. The calculation puts the uncorrected formation energy at -444.1 meV/atom. The total energy comes out at -27.42 eV per cell.